Entry 1:
The following is a PBE calculation of an optimized crystal structure of BiAsIr3, from the Alexandria database.

Computed properties:
offset from the most stable computed form = 1.3293 eV per atom
formation enthalpy at 0 K = 10.736 eV per formula unit

Cell: 4.9747 4.9747 4.9747 Å, 90.00 90.00 90.00°
Site moments in Bohr magnetons follow the coordinates.
Fractional positions:
1 As 0.5000 0.5000 0.5000  0.00
2 Ir 0.0000 0.5000 0.0000  0.42
3 Ir 0.0000 0.0000 0.5000  0.21
4 Ir 0.5000 0.0000 0.0000  0.43
5 Bi 0.0000 0.0000 0.0000  -0.02

***

Entry 2:
The following is a PBE calculation of an optimized crystal structure of BiAs2Ir, from the Alexandria database.

Computed properties:
formation enthalpy at 0 K = 0.374 eV per formula unit

Cell: 6.2022 6.2022 7.1790 Å, 64.41 64.41 90.00°
Fractional positions:
1 As 0.5564 0.1250 0.2500
2 As 0.1936 0.6250 0.2500
3 As 0.3750 0.4436 0.7500
4 As 0.8750 0.8064 0.7500
5 Ir 0.5000 0.5000 0.0000
6 Ir 0.2500 0.7500 0.5000
7 Bi 0.0000 0.0000 0.0000
8 Bi 0.7500 0.2500 0.5000

***

In μB/f.u., the M_tot values for the records above are, in order, 1.06 0.00.